Density functional theory data (PBE) for crystalline Pu2Th3Mn4 at its relaxed geometry.

The structure in extended XYZ format:
```
9
Lattice="5.461 -2.060 0.000 5.461 2.060 0.000 -1.799 0.000 8.321" Properties=species:S:1:pos:R:3 pbc="T T T"
Pu 1.418 0.000 2.322
Pu 7.705 0.000 6.000
Th -0.244 0.000 7.334
Th 4.561 0.000 4.161
Th 9.366 0.000 0.988
Mn 1.421 0.000 4.873
Mn 2.943 0.000 7.084
Mn 6.180 0.000 1.237
Mn 7.702 0.000 3.448
```

Values from the calculation:
ΔE_f: -0.4 eV per formula unit
Spin magnetization: 4.33 μB per formula unit
Calculated volume: 20.802 Å³/atom

=====

Density functional theory data (PBE) for crystalline Pa3Ga12Fe at its relaxed geometry.

The structure in extended XYZ format:
```
16
Lattice="4.289 0.000 0.000 0.000 4.289 0.000 0.000 0.000 16.119" Properties=species:S:1:pos:R:3 pbc="T T T"
Pa 0.000 0.000 0.000
Pa 0.000 0.000 4.330
Pa 0.000 0.000 11.789
Ga 0.000 2.144 2.160
Ga 0.000 2.144 6.453
Ga 0.000 2.144 9.666
Ga 0.000 2.144 13.960
Ga 2.144 0.000 2.160
Ga 2.144 0.000 6.453
Ga 2.144 0.000 9.666
Ga 2.144 0.000 13.960
Ga 2.144 2.144 0.000
Ga 2.144 2.144 4.204
Ga 2.144 2.144 8.060
Ga 2.144 2.144 11.916
Fe 0.000 0.000 8.060
```

Values from the calculation:
ΔE_f: -4.3 eV per formula unit
Spin magnetization: 0.90 μB per formula unit
Calculated volume: 18.530 Å³/atom

=====

Density functional theory data (PBE) for crystalline BaPuIn2 at its relaxed geometry.

The structure in extended XYZ format:
```
4
Lattice="3.567 0.000 0.000 0.000 3.567 0.000 0.000 0.000 9.761" Properties=species:S:1:pos:R:3 pbc="T T T"
Ba 0.000 0.000 0.000
Pu 0.000 0.000 4.880
In 1.783 1.783 2.681
In 1.783 1.783 7.080
```

Values from the calculation:
ΔE_f: -0.8 eV per formula unit
Spin magnetization: 5.83 μB per formula unit
Calculated volume: 31.042 Å³/atom

=====

Density functional theory data (PBE) for crystalline Cs2Hg3Se4 at its relaxed geometry.

The structure in extended XYZ format:
```
18
Lattice="6.726 -7.632 0.000 6.726 7.632 0.000 -3.197 0.000 6.177" Properties=species:S:1:pos:R:3 pbc="T T T"
Cs 2.229 4.077 5.443
Cs 6.428 4.077 3.823
Cs 3.827 -4.077 2.354
Cs 8.026 -4.077 0.734
Hg 4.328 7.611 4.633
Hg 2.317 0.284 4.006
Hg 3.916 -0.284 0.917
Hg 6.340 0.284 5.260
Hg 7.938 -0.284 2.171
Hg 5.927 -7.611 1.544
Se -0.257 1.521 3.807
Se 1.341 -1.521 0.719
Se 3.844 1.736 2.502
Se 2.246 -1.736 5.590
Se 8.010 1.736 0.587
Se 6.411 -1.736 3.675
Se 8.914 1.521 5.458
Se 10.512 -1.521 2.370
```

Values from the calculation:
Spin magnetization: 0.00 μB per formula unit
Distance to the lowest polymorph of the same formula: 0.33 eV per formula unit
Formation energy without anion corrections: -577 meV/atom
Calculated volume: 35.229 Å³/atom

=====

Density functional theory data (PBE) for crystalline K2TbReN4 at its relaxed geometry.

The structure in extended XYZ format:
```
16
Lattice="5.970 0.000 0.000 0.000 5.970 0.000 0.000 0.000 9.031" Properties=species:S:1:pos:R:3 pbc="T T T"
K 0.000 0.000 0.000
K 0.000 2.985 2.258
K 2.985 0.000 6.773
K 2.985 2.985 4.515
Tb 0.000 0.000 4.515
Tb 2.985 2.985 0.000
Re 0.000 2.985 6.773
Re 2.985 0.000 2.258
N 0.801 1.696 5.739
N 1.289 3.787 7.807
N 1.696 5.169 3.292
N 2.184 1.289 1.223
N 3.787 4.681 1.223
N 4.274 0.801 3.292
N 4.681 2.184 7.807
N 5.169 4.274 5.739
```

Values from the calculation:
Spin magnetization: 0.00 μB per formula unit
Formation energy without anion corrections: -637 meV/atom
Calculated volume: 20.117 Å³/atom

=====

Density functional theory data (PBE) for crystalline SbAuCl2 at its relaxed geometry.

The structure in extended XYZ format:
```
4
Lattice="3.150 0.000 0.000 0.000 4.339 0.000 0.000 0.000 6.498" Properties=species:S:1:pos:R:3 pbc="T T T"
Sb 0.000 0.000 0.000
Au 0.000 0.000 3.249
Cl 1.575 2.170 1.579
Cl 1.575 2.170 4.919
```

Values from the calculation:
Spin magnetization: 0.00 μB per formula unit
Distance to the lowest polymorph of the same formula: 2.56 eV per formula unit
Formation energy without anion corrections: 194 meV/atom
Calculated volume: 22.207 Å³/atom

=====

Q: Which formula does entry 1 have?
A: Pu2Th3Mn4